VASP calculation (PBE-GGA) on a relaxed Y2BeAlAu6 crystal.

Output
Energy of formation = -11.33 kcal/mol of atoms
Total moment = 0.0000 μB per atom
E_tot = -4.50 eV/atom

Cell: 5.8012 6.4080 6.8916 Å, 70.80 65.20 63.23°
Atoms (fractional coordinates):
Y (0.2165, 0.2529, 0.3137)
Y (0.7835, 0.7471, 0.6863)
Be (0.0000, 0.0000, 0.0000)
Al (0.5000, 0.5000, 0.5000)
Au (0.2318, 0.7937, 0.2466)
Au (0.2420, 0.6360, 0.8797)
Au (0.2748, 0.2038, 0.7549)
Au (0.7252, 0.7962, 0.2451)
Au (0.7580, 0.3640, 0.1203)
Au (0.7682, 0.2063, 0.7534)